Entry 1:
# Pm2IrRhO6

Pm2IrRhO6 after structural relaxation (PBE-GGA, Alexandria).

Calculated values
V ... 13.37 Å³/atom
Total magnetic moment ... 0.000 μB per atom
Raw formation energy ... -166 kJ/mol of atoms
ρ ... 8.5 g/cm³

Cell: 10.632 10.632 10.632 Å, 30.08 30.08 30.08°
Fractional positions:
Pm 0.114 0.114 0.114
Pm 0.270 0.270 0.270
Pm 0.730 0.730 0.730
Pm 0.886 0.886 0.886
Ir 0.000 0.000 0.000
Ir 0.500 0.500 0.500
Rh 0.410 0.410 0.410
Rh 0.590 0.590 0.590
O 0.125 0.619 0.619
O 0.195 0.195 0.759
O 0.195 0.759 0.195
O 0.241 0.805 0.805
O 0.381 0.381 0.875
O 0.381 0.875 0.381
O 0.619 0.125 0.619
O 0.619 0.619 0.125
O 0.759 0.195 0.195
O 0.805 0.241 0.805
O 0.805 0.805 0.241
O 0.875 0.381 0.381



Entry 2:
# PmIrRh2O8

PmIrRh2O8 after structural relaxation (PBE-GGA, Alexandria).

Calculated values
V ... 12.23 Å³/atom
Total magnetic moment ... 0.000 μB per atom
Raw formation energy ... -114 kJ/mol of atoms
ρ ... 7.6 g/cm³

Cell: 4.735 6.536 4.745 Å, 90.00 91.03 90.00°
Fractional positions:
Pm 0.000 0.000 0.000
Ir 0.000 0.500 0.000
Rh 0.500 0.258 0.500
Rh 0.500 0.742 0.500
O 0.205 0.281 0.201
O 0.205 0.719 0.201
O 0.299 0.500 0.697
O 0.328 0.000 0.669
O 0.672 0.000 0.331
O 0.701 0.500 0.303
O 0.795 0.281 0.799
O 0.795 0.719 0.799



Entry 3:
# PmIrRu2O8

PmIrRu2O8 after structural relaxation (PBE-GGA, Alexandria).

Calculated values
V ... 12.19 Å³/atom
Total magnetic moment ... 0.000 μB per atom
Raw formation energy ... -128 kJ/mol of atoms
ρ ... 7.6 g/cm³

Cell: 4.783 4.783 6.393 Å, 90.00 90.00 91.05°
Fractional positions:
Pm 0.000 0.000 0.000
Ir 0.000 0.000 0.500
Ru 0.500 0.500 0.260
Ru 0.500 0.500 0.740
O 0.210 0.210 0.280
O 0.210 0.210 0.720
O 0.300 0.700 0.500
O 0.333 0.667 0.000
O 0.667 0.333 0.000
O 0.700 0.300 0.500
O 0.790 0.790 0.280
O 0.790 0.790 0.720



What is the V in the second record?
12.23 Å³/atom